Computed, not measured: a geometry-optimized KTbSeO structure at the PBE level of DFT. Values from VASP.

Computed properties:
**Theoretical density**: 5.663 g cm⁻³
**Energy relative to the lowest polymorph listed for this composition**: 209.5 meV/atom

```
&SYSTEM
  ibrav = 0, nat = 8, ntyp = 4
/
ATOMIC_SPECIES
K 39.10 K.upf
Tb 158.93 Tb.upf
Se 78.96 Se.upf
O 16.00 O.upf
CELL_PARAMETERS angstrom
4.122 0.000 0.000
0.000 4.122 0.000
0.000 0.000 10.111
ATOMIC_POSITIONS angstrom
K 1.031 3.092 0.000
K 3.092 1.031 0.000
Tb 1.031 1.031 4.044
Tb 3.092 3.092 6.067
Se 1.031 1.031 7.796
Se 3.092 3.092 2.315
O 1.031 3.092 5.056
O 3.092 1.031 5.056
```



Computed, not measured: a geometry-optimized PuTcAs structure at the PBE level of DFT. Values from VASP.

Computed properties:
**Theoretical density**: 11.221 g cm⁻³
**E**: -9.2210 eV per atom

```
&SYSTEM
  ibrav = 0, nat = 12, ntyp = 3
/
ATOMIC_SPECIES
Pu 244.00 Pu.upf
Tc 98.00 Tc.upf
As 74.92 As.upf
CELL_PARAMETERS angstrom
6.272 0.000 0.000
0.000 6.272 0.000
0.000 0.000 6.272
ATOMIC_POSITIONS angstrom
Pu 0.000 0.000 0.000
Pu 0.000 3.136 3.136
Pu 3.136 0.000 3.136
Pu 3.136 3.136 0.000
Tc 1.568 1.568 1.568
Tc 1.568 4.704 4.704
Tc 4.704 1.568 4.704
Tc 4.704 4.704 1.568
As 1.568 1.568 4.704
As 1.568 4.704 1.568
As 4.704 1.568 1.568
As 4.704 4.704 4.704
```